Record 1
DFT (PBE) results for an optimized crystal structure of SrCu2Se2Cl2O6.

Cell: 7.2629 7.3551 8.1888 Å, 90.00 95.98 90.00°
Positions (direct):
1 Sr 0.1261 0.0000 0.0652
2 Sr 0.8739 0.5000 0.9348
3 Cu 0.3009 0.9919 0.5893
4 Cu 0.3641 0.5104 0.0971
5 Cu 0.6359 0.0104 0.9029
6 Cu 0.6991 0.4919 0.4107
7 Se 0.1289 0.6594 0.3832
8 Se 0.3508 0.3604 0.7873
9 Se 0.6492 0.8604 0.2127
10 Se 0.8711 0.1594 0.6168
11 Cl 0.1184 0.7491 0.7842
12 Cl 0.4493 0.3004 0.3825
13 Cl 0.5507 0.8004 0.6175
14 Cl 0.8816 0.2491 0.2158
15 O 0.1076 0.1799 0.6153
16 O 0.1437 0.6278 0.1710
17 O 0.1865 0.8899 0.3823
18 O 0.2078 0.3387 0.9498
19 O 0.4364 0.1375 0.7692
20 O 0.4710 0.9465 0.0746
21 O 0.5290 0.4465 0.9254
22 O 0.5636 0.6375 0.2308
23 O 0.7922 0.8387 0.0502
24 O 0.8135 0.3899 0.6177
25 O 0.8563 0.1278 0.8290
26 O 0.8924 0.6799 0.3847

uncorrected formation energy	-14.5	eV per formula unit
total magnetization	4.083	Bohr magnetons per cell
electronic total energy	-129.5	eV for the cell shown
Fermi-level density of states	0.53	states/eV per cell
mass density	4.12	Mg/m³
symmetry	No. 4


Record 2
DFT (PBE) results for an optimized crystal structure of Mn2InAu.

Cell: 3.1986 3.1986 6.5529 Å, 90.00 90.00 90.00°
Positions (direct):
1 Mn 0.0000 0.0000 0.0000
2 Mn 0.5000 0.5000 0.1887
3 In 0.5000 0.5000 0.7287
4 Au 0.0000 0.0000 0.4271

total magnetization	0.481	Bohr magnetons per cell
electronic total energy	-24.1	eV for the cell shown
Fermi-level density of states	2.09	states/eV per cell
mass density	10.44	Mg/m³
symmetry	No. 99


Record 3
DFT (PBE) results for an optimized crystal structure of InHgF.

Cell: 4.2874 4.2874 11.3677 Å, 90.68 90.68 51.88°
Positions (direct):
1 In 0.1662 0.1662 0.1444
2 In 0.8338 0.8338 0.8556
3 Hg 0.1557 0.1557 0.6049
4 Hg 0.8443 0.8443 0.3951
5 F 0.1538 0.1538 0.9336
6 F 0.8462 0.8462 0.0664

uncorrected formation energy	-3.3	eV per formula unit
total magnetization	0.000	Bohr magnetons per cell
polymorph energy (0 for the lowest one)	38.2	meV/atom
electronic total energy	-16.4	eV for the cell shown
mass density	6.76	Mg/m³
symmetry	No. 12


Record 4
DFT (PBE) results for an optimized crystal structure of CeDyNiS3.

Cell: 8.0503 3.8010 8.2911 Å, 90.00 101.66 90.00°
Positions (direct):
1 Ce 0.1684 0.2500 0.2371
2 Ce 0.8316 0.7500 0.7629
3 Dy 0.3320 0.7500 0.8237
4 Dy 0.6680 0.2500 0.1763
5 Ni 0.0897 0.2500 0.5908
6 Ni 0.9103 0.7500 0.4092
7 S 0.1006 0.2500 0.8646
8 S 0.2085 0.7500 0.4996
9 S 0.4190 0.7500 0.1676
10 S 0.5810 0.2500 0.8324
11 S 0.7915 0.2500 0.5004
12 S 0.8994 0.7500 0.1354

uncorrected formation energy	-10.1	eV per formula unit
total magnetization	1.466	Bohr magnetons per cell
electronic total energy	-77.6	eV for the cell shown
Fermi-level density of states	11.10	states/eV per cell
mass density	6.12	Mg/m³
symmetry	No. 11


Record 5
DFT (PBE) results for an optimized crystal structure of AcPrLuHg.

Cell: 5.6260 5.6260 5.6260 Å, 60.00 60.00 60.00°
Positions (direct):
1 Ac 0.0000 0.0000 0.0000
2 Pr 0.2500 0.2500 0.2500
3 Lu 0.7500 0.7500 0.7500
4 Hg 0.5000 0.5000 0.5000

total magnetization	0.000	Bohr magnetons per cell
electronic total energy	-13.5	eV for the cell shown
Fermi-level density of states	7.03	states/eV per cell
mass density	9.80	Mg/m³
symmetry	No. 216


Record 6
DFT (PBE) results for an optimized crystal structure of ScTc4Pb.

Cell: 5.2807 5.2807 5.2807 Å, 60.00 60.00 60.00°
Positions (direct):
1 Sc 0.0000 0.0000 0.0000
2 Tc 0.1265 0.6245 0.6245
3 Tc 0.6245 0.1265 0.6245
4 Tc 0.6245 0.6245 0.1265
5 Tc 0.6245 0.6245 0.6245
6 Pb 0.2500 0.2500 0.2500

total magnetization	0.000	Bohr magnetons per cell
electronic total energy	-50.7	eV for the cell shown
Fermi-level density of states	6.70	states/eV per cell
mass density	10.27	Mg/m³
symmetry	No. 216


Record 7
DFT (PBE) results for an optimized crystal structure of VSiMo.

Cell: 2.6845 4.2309 7.5235 Å, 90.00 97.80 90.00°
Positions (direct):
1 V 0.0000 0.0000 0.0000
2 V 0.2949 0.5000 0.1725
3 Si 0.5872 0.5000 0.8535
4 Si 0.7899 0.0000 0.3062
5 Mo 0.1341 0.0000 0.6738
6 Mo 0.7200 0.5000 0.5035

uncorrected formation energy	-0.6	eV per formula unit
total magnetization	0.000	Bohr magnetons per cell
electronic total energy	-52.0	eV for the cell shown
Fermi-level density of states	2.76	states/eV per cell
mass density	6.86	Mg/m³
symmetry	No. 6


Record 8
DFT (PBE) results for an optimized crystal structure of PuTl3F8.

Cell: 7.5065 7.5065 7.5065 Å, 131.25 131.25 71.42°
Positions (direct):
1 Pu 0.0000 0.0000 0.0000
2 Tl 0.2500 0.7500 0.5000
3 Tl 0.5000 0.5000 0.0000
4 Tl 0.7500 0.2500 0.5000
5 F 0.1013 0.1013 0.4127
6 F 0.1013 0.6885 0.0000
7 F 0.3115 0.3115 0.4127
8 F 0.3115 0.8987 0.0000
9 F 0.6885 0.1013 0.0000
10 F 0.6885 0.6885 0.5873
11 F 0.8987 0.3115 0.0000
12 F 0.8987 0.8987 0.5873

uncorrected formation energy	-30.2	eV per formula unit
total magnetization	3.000	Bohr magnetons per cell
polymorph energy (0 for the lowest one)	0.0	meV/atom
electronic total energy	-66.6	eV for the cell shown
Fermi-level density of states	4.11	states/eV per cell
mass density	7.16	Mg/m³
symmetry	No. 139